1.
TaInRhO6 | Alexandria | PBE | optimized geometry; DOS(E_F) = 4.014 states/eV/f.u.; symmetry = P4_2nm (102); E = -134.121 eV/cell; magnetic moment = 1.00 μB per formula unit
1.0
-4.085 -1.937 1.566
0.287 -3.355 -3.399
4.940 -5.606 5.951
Ta In Rh O
2 2 2 12
Cartesian
-1.065 -3.591 0.088
3.303 -3.749 3.979
0.573 -5.451 2.062
0.002 -0.003 0.003
2.213 -7.312 4.037
1.642 -1.864 1.978
1.973 -5.915 0.500
-0.803 -5.015 3.653
-1.191 -1.696 -0.565
-2.577 -3.628 -1.233
0.278 -4.060 -1.343
-2.328 -3.215 1.616
2.212 -5.372 3.482
0.678 -7.509 2.742
0.859 -6.821 5.424
3.438 -7.657 2.496
-1.100 -5.522 0.608
0.458 -3.351 1.360

***

2.
TiIn2RhO | Alexandria | PBE | optimized geometry; DOS(E_F) = 4.627 states/eV/f.u.; symmetry = P4/mmm (123); E = -24.379 eV/cell; magnetic moment = 0.00 μB per formula unit
1.0
5.059 0.000 0.000
0.000 4.592 0.000
0.000 0.000 5.059
Ti Rh O In
1 1 1 2
Cartesian
0.000 2.296 0.000
0.000 0.000 0.000
2.530 2.296 2.530
0.000 0.000 2.530
2.530 0.000 0.000

***

Question: Among the records above, which one has the lowest magnetic moment?
Answer: TiIn2RhO